First-principles (PBE-GGA) data for Nd15Er4Mg after structural relaxation, as listed in Alexandria via LeMat-Bulk.

## Properties
Size of the total moment   0.00 Bohr magnetons per cell
Mass density   7.047 g/cm3
ΔE_f   15 kJ/mol of formula units
Space group   P4/mmm
Total energy   -4.560 eV per atom
Crystal system   tetragonal

a = 5.1204 Å, b = 5.1204 Å, c = 25.6761 Å
α = 90.00°, β = 90.00°, γ = 90.00°
Closest atoms and distances in Å follow each position.
Atoms (fractional coordinates):
Nd (0.0000, 0.0000, 0.0000)  8 Nd 3.60, 4 Mg 3.62
Nd (0.0000, 0.0000, 0.1976)  8 Nd 3.61-3.65, 4 Er 3.62
Nd (0.0000, 0.0000, 0.3992)  4 Er 3.62, 8 Nd 3.63-3.64
Nd (0.0000, 0.0000, 0.6008)  4 Er 3.62, 8 Nd 3.63-3.64
Nd (0.0000, 0.0000, 0.8024)  8 Nd 3.61-3.65, 4 Er 3.62
Nd (0.0000, 0.5000, 0.0985)  8 Nd 3.60-3.62, 2 Mg 3.60, 2 Er 3.62
Nd (0.0000, 0.5000, 0.2990)  8 Nd 3.62-3.65, 4 Er 3.64
Nd (0.0000, 0.5000, 0.5000)  8 Nd 3.62-3.64, 4 Er 3.63
Nd (0.0000, 0.5000, 0.7010)  8 Nd 3.62-3.65, 4 Er 3.64
Nd (0.0000, 0.5000, 0.9015)  8 Nd 3.60-3.62, 2 Mg 3.60, 2 Er 3.62
Nd (0.5000, 0.0000, 0.0985)  8 Nd 3.60-3.62, 2 Mg 3.60, 2 Er 3.62
Nd (0.5000, 0.0000, 0.2990)  8 Nd 3.62-3.65, 4 Er 3.64
Nd (0.5000, 0.0000, 0.5000)  8 Nd 3.62-3.64, 4 Er 3.63
Nd (0.5000, 0.0000, 0.7010)  8 Nd 3.62-3.65, 4 Er 3.64
Nd (0.5000, 0.0000, 0.9015)  8 Nd 3.60-3.62, 2 Mg 3.60, 2 Er 3.62
Er (0.5000, 0.5000, 0.1981)  12 Nd 3.62-3.64
Er (0.5000, 0.5000, 0.3995)  12 Nd 3.62-3.64
Er (0.5000, 0.5000, 0.6005)  12 Nd 3.62-3.64
Er (0.5000, 0.5000, 0.8019)  12 Nd 3.62-3.64
Mg (0.5000, 0.5000, 0.0000)  12 Nd 3.60-3.62